No. 1
{
  "formula": "NdAl11Co",
  "functional": "PBE",
  "state": "relaxed",
  "lattice": [[2.5706, -6.2888, 0.0000], [2.5706, 6.2888, 0.0000], [-2.3028, 0.0000, 6.8451]],
  "species": ["Nd", "Al", "Al", "Al", "Al", "Al", "Al", "Al", "Al", "Al", "Al", "Al", "Co"],
  "frac_coords": [[0.0000, 0.0000, 0.0000], [0.0000, 0.0000, 0.5000], [0.0000, 0.5000, 0.0000], [0.0174, 0.3633, 0.3621], [0.2824, 0.4991, 0.7649], [0.3633, 0.0174, 0.3621], [0.4991, 0.2824, 0.7649], [0.5000, 0.0000, 0.0000], [0.5009, 0.7176, 0.2351], [0.6367, 0.9826, 0.6379], [0.7176, 0.5009, 0.2351], [0.9826, 0.6367, 0.6379], [0.5000, 0.5000, 0.5000]],
  "crystal_system": "monoclinic",
  "magnetic_moment_mub_per_cell": 0.0,
  "delta_e_f_mev_per_atom": -214,
  "sg": "No. 12",
  "total_energy_ev_per_cell": -55.83
}



No. 2
{
  "formula": "Hf12ZrSn6",
  "functional": "PBE",
  "state": "relaxed",
  "lattice": [[6.8544, 3.9574, 2.6047], [-6.8544, 3.9574, 2.6047], [0.0000, -7.9148, 2.6047]],
  "species": ["Hf", "Hf", "Hf", "Hf", "Hf", "Hf", "Hf", "Hf", "Hf", "Hf", "Hf", "Hf", "Zr", "Sn", "Sn", "Sn", "Sn", "Sn", "Sn"],
  "frac_coords": [[0.0405, 0.2991, 0.1839], [0.1839, 0.0405, 0.2991], [0.2278, 0.5880, 0.6673], [0.2991, 0.1839, 0.0405], [0.3327, 0.7722, 0.4120], [0.4120, 0.3327, 0.7722], [0.5880, 0.6673, 0.2278], [0.6673, 0.2278, 0.5880], [0.7009, 0.8161, 0.9595], [0.7722, 0.4120, 0.3327], [0.8161, 0.9595, 0.7009], [0.9595, 0.7009, 0.8161], [0.5000, 0.5000, 0.5000], [0.0912, 0.8772, 0.5788], [0.1228, 0.4212, 0.9088], [0.4212, 0.9088, 0.1228], [0.5788, 0.0912, 0.8772], [0.8772, 0.5788, 0.0912], [0.9088, 0.1228, 0.4212]],
  "crystal_system": "trigonal",
  "magnetic_moment_mub_per_cell": 0.0,
  "delta_e_f_mev_per_atom": -209,
  "sg": "No. 148",
  "total_energy_ev_per_cell": -155.98
}



No. 3
{
  "formula": "BaCaZnF6",
  "functional": "PBE",
  "state": "relaxed",
  "lattice": [[-3.6561, 3.6856, 5.1409], [3.6561, -3.6856, 5.1409], [3.6561, 3.6856, -5.1409]],
  "species": ["Ba", "Ba", "Ca", "Ca", "Zn", "Zn", "F", "F", "F", "F", "F", "F", "F", "F", "F", "F", "F", "F"],
  "frac_coords": [[0.3369, 0.0869, 0.2500], [0.6631, 0.9131, 0.7500], [0.0000, 0.5000, 0.5000], [0.5000, 0.5000, 0.0000], [0.0000, 0.0000, 0.5000], [0.0000, 0.5000, 0.0000], [0.0597, 0.3166, 0.1457], [0.0597, 0.9141, 0.7431], [0.1000, 0.3500, 0.7500], [0.3291, 0.0859, 0.6457], [0.3291, 0.6834, 0.2431], [0.3833, 0.6333, 0.7500], [0.6167, 0.3667, 0.2500], [0.6709, 0.3166, 0.7569], [0.6709, 0.9141, 0.3543], [0.9000, 0.6500, 0.2500], [0.9403, 0.0859, 0.2569], [0.9403, 0.6834, 0.8543]],
  "crystal_system": "orthorhombic",
  "e_form_raw_mev_per_atom": -3332.0,
  "magnetic_moment_mub_per_cell": 0.0,
  "sg": "No. 74",
  "total_energy_ev_per_cell": -92.83
}



No. 4
{
  "formula": "YErLu2",
  "functional": "PBE",
  "state": "relaxed",
  "lattice": [[1.7520, 1.0115, 11.4049], [-1.7520, 1.0115, 11.4049], [0.0000, -2.0230, 11.4049]],
  "species": ["Y", "Er", "Lu", "Lu"],
  "frac_coords": [[0.0000, 0.0000, 0.0000], [0.5000, 0.5000, 0.5000], [0.2494, 0.2494, 0.2494], [0.7506, 0.7506, 0.7506]],
  "crystal_system": "trigonal",
  "magnetic_moment_mub_per_cell": 0.0,
  "delta_e_f_mev_per_atom": 36,
  "e_above_lowest_polymorph_ev_per_fu": 0.01,
  "sg": "No. 166",
  "total_energy_ev_per_cell": -19.93
}



No. 5
{
  "formula": "BaAc4Ir3O12",
  "functional": "PBE",
  "state": "relaxed",
  "lattice": [[-4.4227, 4.4227, 4.4227], [4.4227, -4.4227, 4.4227], [4.4227, 4.4227, -4.4227]],
  "species": ["Ba", "Ac", "Ac", "Ac", "Ac", "Ir", "Ir", "Ir", "O", "O", "O", "O", "O", "O", "O", "O", "O", "O", "O", "O"],
  "frac_coords": [[0.0000, 0.0000, 0.0000], [0.0000, 0.0000, 0.5000], [0.0000, 0.5000, 0.0000], [0.5000, 0.0000, 0.0000], [0.5000, 0.5000, 0.5000], [0.0000, 0.5000, 0.5000], [0.5000, 0.0000, 0.5000], [0.5000, 0.5000, 0.0000], [0.1449, 0.4741, 0.3293], [0.1449, 0.8156, 0.6707], [0.1844, 0.3293, 0.8551], [0.3293, 0.1449, 0.4741], [0.3293, 0.8551, 0.1844], [0.4741, 0.3293, 0.1449], [0.5259, 0.6707, 0.8551], [0.6707, 0.1449, 0.8156], [0.6707, 0.8551, 0.5259], [0.8156, 0.6707, 0.1449], [0.8551, 0.1844, 0.3293], [0.8551, 0.5259, 0.6707]],
  "crystal_system": "cubic",
  "e_form_raw_mev_per_atom": -2030.8,
  "magnetic_moment_mub_per_cell": 7.0,
  "sg": "No. 204",
  "total_energy_ev_per_cell": -145.05
}



No. 6
{
  "formula": "Mn2CdGaIr",
  "functional": "PBE",
  "state": "relaxed",
  "lattice": [[4.9070, 0.0000, 0.0000], [0.0000, 4.9070, 0.0000], [0.0000, 0.0000, 4.9598]],
  "species": ["Mn", "Mn", "Cd", "Ga", "Ir"],
  "frac_coords": [[0.0000, 0.5000, 0.0000], [0.5000, 0.0000, 0.0000], [0.0000, 0.0000, 0.0000], [0.5000, 0.5000, 0.5000], [0.0000, 0.0000, 0.5000]],
  "crystal_system": "tetragonal",
  "magnetic_moment_mub_per_cell": 8.9,
  "delta_e_f_mev_per_atom": 1435,
  "sg": "No. 123",
  "total_energy_ev_per_cell": -23.97
}